An optimized crystal structure of AlRu2. Source: Alexandria via LeMat-Bulk, functional PBE.

Geometry as CIF:
```
data_AlRu2
_cell_length_a 5.815
_cell_length_b 5.815
_cell_length_c 5.019
_cell_angle_alpha 90.00
_cell_angle_beta 90.00
_cell_angle_gamma 90.00
_symmetry_space_group_name_H-M 'I 4/m c m'
_symmetry_Int_Tables_number 140
_symmetry_space_group_name_Hall '-I 4 2c'
loop_
_atom_site_label
_atom_site_fract_x
_atom_site_fract_y
_atom_site_fract_z
_atom_site_occupancy
Al1 0.000 0.000 0.250 1
Ru1 0.150 0.350 0.000 1
```

The value obtained for the total energy is -7.51 eV per atom. The value obtained for the formation energy from the elements is -0.232 eV/f.u. For the density of states at the Fermi level, the calculation gives 4.48 states/eV/f.u.